A relaxed structure of Dy2Ga5Pd, computed with GGA-PBE.

Structure (extended XYZ):
```
8
Lattice="5.9992 -0.0209 -0.0298 -2.9718 5.2115 0.0298 -2.9718 -1.7448 4.9108" Properties=species:S:1:pos:R:3 pbc="T T T"
Ga 1.3630 0.9602 1.3685
Ga -3.1366 3.5523 1.3983
Pd -4.6530 2.7139 3.8678
Ga -3.1366 0.1065 3.8161
Ga -1.6210 0.9455 1.3474
Ga -1.6369 2.6777 3.8161
Dy -0.1375 0.0802 3.8130
Dy -0.1375 3.5583 1.3725
```

energy of formation from the pure elements	-0.58	eV/atom
SG	No. 107


A relaxed structure of DyGa4Pd2, computed with GGA-PBE.

Structure (extended XYZ):
```
28
Lattice="-1.7209 -3.9659 0.2308 4.6528 -2.2500 -3.9700 10.1224 -3.5837 13.8946" Properties=species:S:1:pos:R:3 pbc="T T T"
Ga 5.7602 -3.2799 6.8913
Ga 11.5238 -7.9094 10.9209
Ga 2.5310 -2.1758 1.7867
Pd 1.0685 -3.8272 3.1091
Ga 4.0483 -5.4581 -2.6965
Dy 2.5079 -4.6271 0.0962
Pd 4.5941 -5.2087 5.6583
Ga 3.4272 -4.8374 3.3375
Ga 9.0061 -4.3415 12.8519
Ga 7.2942 -6.5197 3.2641
Pd 8.1845 -6.6128 8.3032
Pd 9.6523 -6.9991 12.6082
Pd 8.4603 -4.5909 4.4971
Dy 3.2601 -2.3045 5.0106
Ga 6.1288 -3.6057 4.0412
Ga 7.8199 -4.0777 8.5397
Pd 11.9858 -5.9723 7.0462
Ga 9.6272 -4.9622 6.8179
Ga 5.2345 -5.7218 1.6157
Dy 9.7943 -7.4951 5.1448
Pd 4.8698 -3.1868 1.8522
Ga 1.5305 -1.8902 -0.7655
Ga 5.2151 -3.4842 -0.6832
Ga 6.9256 -6.1939 6.1142
Dy 10.5465 -5.1724 10.0592
Pd 3.4021 -2.8005 -2.4528
Ga 10.5233 -7.6238 8.3687
Ga 7.8393 -6.3154 10.8386
```

energy of formation from the pure elements	-0.68	eV/atom
SG	No. 62
energy relative to the lowest polymorph listed for this composition	0	meV/atom


A relaxed structure of DyGaPd4, computed with GGA-PBE.

Structure (extended XYZ):
```
12
Lattice="5.3398 0.0016 -0.0043 -0.0024 4.7336 0.0016 -2.6853 -2.3617 8.2411" Properties=species:S:1:pos:R:3 pbc="T T T"
Dy 4.1793 3.5509 0.0015
Pd 0.8574 -1.1778 6.6833
Pd 1.7947 3.5512 1.5550
Ga 1.3273 -1.1801 4.1184
Ga -1.3438 1.1859 4.1213
Pd -0.8521 3.5509 2.8300
Pd 3.5042 -1.1774 5.4083
Dy -1.5271 -1.1775 8.2369
Pd 0.8372 1.1854 2.8221
Pd -0.8804 1.1890 6.6866
Pd 3.5325 1.1845 1.5517
Pd 1.8149 1.1881 5.4163
```

energy of formation from the pure elements	-0.65	eV/atom
SG	No. 2
energy relative to the lowest polymorph listed for this composition	0	meV/atom


A relaxed structure of DyGa3Pd3, computed with GGA-PBE.

Structure (extended XYZ):
```
14
Lattice="6.8923 0.0000 0.0000 3.4462 5.9689 0.0000 3.4462 1.9896 6.0844" Properties=species:S:1:pos:R:3 pbc="T T T"
Ga 4.7119 4.4577 3.8325
Pd 5.1148 2.0356 4.8307
Pd 9.4644 3.4118 4.8307
Pd 4.3203 4.5468 1.2537
Pd 7.6869 1.4681 1.2537
Ga 9.0727 3.5009 2.2518
Dy 6.8923 3.9793 0.1016
Ga 8.3968 5.6284 3.8325
Dy 6.8923 3.9793 5.9828
Pd 8.6699 5.9230 1.2537
Ga 7.5682 1.8518 3.8325
Ga 5.3878 2.3302 2.2518
Ga 6.2165 6.1068 2.2518
Pd 6.0978 6.4905 4.8307
```

energy of formation from the pure elements	-0.65	eV/atom
SG	No. 148
energy relative to the lowest polymorph listed for this composition	0	meV/atom


A relaxed structure of DyGa2Pd4, computed with GGA-PBE.

Structure (extended XYZ):
```
28
Lattice="4.4175 0.0000 0.0000 0.0000 5.7210 0.0000 0.0000 0.0000 19.0513" Properties=species:S:1:pos:R:3 pbc="T T T"
Pd 1.1044 1.4570 3.4103
Pd 3.3131 0.1054 1.6401
Ga 1.1044 5.6113 14.8936
Pd 1.1044 2.9659 7.8855
Pd 3.3131 4.7435 9.0005
Pd 3.3131 4.3175 6.1154
Dy 1.1044 0.0766 7.1935
Ga 3.3131 1.0657 18.2895
Ga 1.1044 4.6553 0.7618
Dy 3.3131 2.9371 2.3321
Ga 3.3131 2.7508 13.6834
Dy 1.1044 2.7839 16.7192
Pd 3.3131 2.7551 11.1658
Dy 3.3131 5.6444 11.8578
Pd 1.1044 1.4035 12.9359
Pd 3.3131 1.2291 15.6639
Ga 3.3131 1.7948 8.7639
Pd 1.1044 1.8830 0.5251
Pd 3.3131 3.8380 18.5262
Pd 1.1044 5.6156 17.4112
Pd 3.3131 1.6314 6.1383
Pd 1.1044 4.0896 12.9130
Pd 1.1044 0.9775 10.0508
Ga 1.1044 3.9263 10.2874
Ga 3.3131 0.1098 4.1577
Pd 3.3131 4.2640 15.6410
Ga 1.1044 2.9703 5.3679
Pd 1.1044 4.4919 3.3874
```

energy of formation from the pure elements	-0.76	eV/atom
SG	No. 62
energy relative to the lowest polymorph listed for this composition	0	meV/atom


A relaxed structure of Dy5Ga4Pd, computed with GGA-PBE.

Structure (extended XYZ):
```
10
Lattice="-2.3864 1.3339 2.2741 1.3358 -2.0327 2.5941 11.3932 13.0078 4.3261" Properties=species:S:1:pos:R:3 pbc="T T T"
Dy 5.1713 6.1545 4.5971
Ga 4.5564 5.2021 1.7301
Dy 7.4689 8.7777 5.4695
Pd 0.0000 0.0000 0.0000
Dy 0.5692 0.9002 2.8497
Ga 2.2616 2.5821 0.8587
Dy 9.7734 11.4088 6.3446
Dy 2.8737 3.5313 3.7247
Ga 6.8368 7.8057 2.5960
Ga 9.1316 10.4257 3.4673
```

energy of formation from the pure elements	-0.65	eV/atom
SG	No. 123


A relaxed structure of Dy3GaPd, computed with GGA-PBE.

Structure (extended XYZ):
```
20
Lattice="7.9967 -0.2833 -0.2119 0.2534 8.0017 -0.8174 0.2534 1.4764 7.9067" Properties=species:S:1:pos:R:3 pbc="T T T"
Dy 0.8663 1.1768 6.3273
Dy 4.9659 4.8711 4.9849
Dy 6.5185 3.2784 0.0859
Dy 4.8647 6.2603 -0.7646
Dy 3.6389 2.9344 7.6419
Dy 3.5377 4.3237 1.8924
Ga 6.2509 2.3218 6.3333
Dy 7.5360 2.8951 3.5070
Dy 2.5202 1.1502 3.2265
Pd 3.3665 7.4067 4.7319
Dy 1.9850 5.9164 6.7914
Pd 5.1370 1.7881 2.1454
Ga 2.2526 3.6196 4.8936
Ga 2.2526 6.8729 0.5440
Dy 7.6372 8.0180 0.5500
Dy 0.9675 6.2996 3.3704
Ga 6.2509 5.5752 1.9837
Pd 1.1387 2.7049 1.2151
Dy 5.9833 8.0445 3.6508
Pd 7.3648 6.4899 5.6622
```

energy of formation from the pure elements	-0.48	eV/atom
SG	No. 15


A relaxed structure of DyGa4Pd4, computed with GGA-PBE.

Structure (extended XYZ):
```
18
Lattice="-4.3180 4.0885 1.2337 -4.2282 -3.8464 -2.0520 -0.8545 -3.3004 7.9472" Properties=species:S:1:pos:R:3 pbc="T T T"
Pd -5.5120 -1.2741 -0.1216
Pd -3.2159 0.8147 0.9926
Pd -3.4166 -4.1014 1.6342
Pd -1.4845 -2.3438 2.5718
Ga -3.7443 -1.4450 6.6318
Ga -3.5946 -5.0075 4.0140
Dy 0.0000 0.0000 0.0000
Pd -1.6905 -0.8908 5.1532
Pd -3.6636 0.9775 5.7169
Dy -4.7003 -1.5291 3.5645
Pd -3.8643 -3.9386 6.3585
Ga -6.1884 -3.6683 5.4458
Ga -1.5140 0.1541 2.8309
Ga -5.6823 0.6801 1.4467
Ga -3.3361 1.8793 3.3515
Ga -1.8104 -3.3845 4.8798
Pd -6.2092 -1.7184 7.0284
Ga -3.1863 -1.6832 0.7336
```

energy of formation from the pure elements	-0.62	eV/atom
SG	No. 137


| no. | total energy (eV/f.u.) |
| --- | --- |
| 1 | -34.1 |
| 2 | -31.9 |
| 3 | -32.3 |
| 4 | -33.8 |
| 5 | -36.7 |
| 6 | -46.8 |
| 7 | -24.4 |
| 8 | -43.1 |